{"formula": "Li2BeTlI6", "functional": "PBE-GGA", "state": "relaxed", "total_energy_ev_per_cell": -52.5, "sg": "C2/c, No. 15", "lattice_angstrom": [[7.444, -7.873, 0.000], [7.444, 7.873, 0.000], [-4.146, 0.000, 7.663]], "species": ["Li", "Li", "Li", "Li", "Be", "Be", "Tl", "Tl", "I", "I", "I", "I", "I", "I", "I", "I", "I", "I", "I", "I"], "frac_coords": [[0.076, 0.255, 0.075], [0.255, 0.076, 0.575], [0.745, 0.924, 0.425], [0.924, 0.745, 0.925], [0.334, 0.666, 0.250], [0.666, 0.334, 0.750], [0.384, 0.616, 0.750], [0.616, 0.384, 0.250], [0.078, 0.170, 0.351], [0.164, 0.657, 0.984], [0.170, 0.078, 0.851], [0.307, 0.451, 0.287], [0.343, 0.836, 0.516], [0.451, 0.307, 0.787], [0.549, 0.693, 0.213], [0.657, 0.164, 0.484], [0.693, 0.549, 0.713], [0.830, 0.922, 0.149], [0.836, 0.343, 0.016], [0.922, 0.830, 0.649]]}